Dy2Er3Tl7: optimized geometry, GGA-PBE.

Summary:
E: -3.3552 eV per atom
ΔH_f (0 K): -0.067 eV/atom

a = 13.0881 Å, b = 13.0881 Å, c = 5.3614 Å
α = 90.00°, β = 90.00°, γ = 156.81°
Fractional positions:
Dy1 0.1526 0.8474 0.0000
Dy2 0.8474 0.1526 0.0000
Er1 0.3492 0.6508 0.5000
Er2 0.5000 0.5000 0.5000
Er3 0.6508 0.3492 0.5000
Tl1 0.0000 0.0000 0.0000
Tl2 0.0812 0.9188 0.5000
Tl3 0.2800 0.7200 0.0000
Tl4 0.4248 0.5752 0.0000
Tl5 0.5752 0.4248 0.0000
Tl6 0.7200 0.2800 0.0000
Tl7 0.9188 0.0812 0.5000